1.
Material: NiPtSe2N
Method: DFT, SCAN
State: single point on PBEsol structure

Summary:
The calculation puts the formation energy from raw total energies at 0.82 eV per atom. Its theoretical density is 7.66 g cm⁻³. The value obtained for the uncorrected energy is -26.35 eV/atom.

Unit cell a=5.083 b=5.083 c=3.571 alpha=90.00 beta=90.00 gamma=90.00
Space group P4/mmm (No. 123)
Unique sites:
1 Ni 0.000 0.000 0.000
2 Pt 0.500 0.500 0.500
3 Se 0.000 0.500 0.500
4 N 0.500 0.500 0.000



2.
Material: BaTaBr2
Method: DFT, SCAN
State: single point on PBEsol structure

Summary:
The calculation puts the formation energy from raw total energies at -0.06 eV per atom. Its theoretical density is 6.23 g cm⁻³. As for the energy above the most stable polymorph in this dataset: 0.092 eV/atom. The value obtained for the uncorrected energy is -36.33 eV/atom.

Unit cell a=5.517 b=5.517 c=16.760 alpha=90.00 beta=90.00 gamma=90.00
Space group I-42d (No. 122)
Unique sites:
1 Ba 0.000 0.000 0.000
2 Ta 0.000 0.000 0.500
3 Br 0.153 0.250 0.625



What is the formula in the second record? BaTaBr2



Which value of theoretical density does entry 1 give? 7.66 g cm⁻³



Among the records above, which one has the highest theoretical density? NiPtSe2N



Look up the uncorrected energy of the second one. -36.33 eV/atom